No. 1
Computed, not measured: a relaxed FeCuTcHg crystal at the PBE level of DFT.

a = 6.1698 Å, b = 6.1698 Å, c = 6.1698 Å
α = 90.00°, β = 90.00°, γ = 90.00°
With the nearest neighbours (Å) after each atom.
Space group F-43m (No. 216)
Asymmetric unit:
1 Fe 0.0000 0.0000 0.0000 (multiplicity 4)  4 Hg 2.67, 4 Tc 2.67
2 Cu 0.0000 0.0000 0.5000 (multiplicity 4)  4 Hg 2.67, 4 Tc 2.67
3 Tc 0.2500 0.2500 0.7500 (multiplicity 4)  4 Fe 2.67, 4 Cu 2.67
4 Hg 0.2500 0.2500 0.2500 (multiplicity 4)  4 Fe 2.67, 4 Cu 2.67

Formation enthalpy at 0 K = 0.4978 eV per atom
Total energy = -82.77 eV for the cell shown
Total magnetic moment = 14.12 μB/cell
Relative energy among the computed polymorphs = 0 meV per atom

---

No. 2
Computed, not measured: a relaxed Li2Nb2AlGaCo2 crystal at the PBE level of DFT.

a = 4.1934 Å, b = 4.1934 Å, c = 5.9317 Å
α = 90.00°, β = 90.00°, γ = 90.00°
With the nearest neighbours (Å) after each atom.
Space group P-4m2 (No. 115)
Asymmetric unit:
1 Li 0.0000 0.5000 0.2477 (multiplicity 2)  4 Nb 2.56-2.58, 2 Ga 2.56, 2 Al 2.58
2 Nb 0.0000 0.0000 0.5000 (multiplicity 1)  4 Co 2.56, 4 Li 2.58
3 Nb 0.5000 0.5000 0.0000 (multiplicity 1)  4 Li 2.56, 4 Co 2.58
4 Al 0.5000 0.5000 0.5000 (multiplicity 1)  4 Co 2.56, 4 Li 2.58
5 Ga 0.0000 0.0000 0.0000 (multiplicity 1)  4 Li 2.56, 4 Co 2.58
6 Co 0.0000 0.5000 0.7474 (multiplicity 2)  2 Al 2.56, 4 Nb 2.56-2.58, 2 Ga 2.58

Total energy = -47.67 eV for the cell shown
Total magnetic moment = 0.00 μB/cell

---

No. 3
Computed, not measured: a relaxed TlAgSnTe3 crystal at the PBE level of DFT.

a = 14.6845 Å, b = 4.3346 Å, c = 11.7357 Å
α = 90.00°, β = 90.00°, γ = 90.00°
With the nearest neighbours (Å) after each atom.
Space group Pnma (No. 62)
Asymmetric unit:
1 Tl 0.2216 0.2500 0.0200 (multiplicity 4)  7 Te 3.40-3.66, 3 Ag 3.71-3.75
2 Ag 0.0219 0.7500 0.0766 (multiplicity 4)  4 Te 2.86-2.89, 2 Ag 2.89
3 Sn 0.0349 0.2500 0.3472 (multiplicity 4)  6 Te 2.91-3.12
4 Te 0.0940 0.7500 0.8499 (multiplicity 4)  3 Ag 2.86-2.89, 1 Sn 2.99
5 Te 0.1065 0.2500 0.5788 (multiplicity 4)  3 Sn 2.91-3.12
6 Te 0.1553 0.7500 0.2576 (multiplicity 4)  1 Ag 2.89, 2 Sn 2.99

Total energy = -78.33 eV for the cell shown
Relative energy among the computed polymorphs = 12 meV per atom

---

No. 4
Computed, not measured: a relaxed YBeSiIr crystal at the PBE level of DFT.

a = 6.2493 Å, b = 6.2493 Å, c = 6.2493 Å
α = 90.00°, β = 90.00°, γ = 90.00°
With the nearest neighbours (Å) after each atom.
Space group F-43m (No. 216)
Asymmetric unit:
1 Y 0.0000 0.0000 0.0000 (multiplicity 4)  4 Si 2.71, 4 Be 2.71
2 Be 0.2500 0.2500 0.2500 (multiplicity 4)  4 Ir 2.71, 4 Y 2.71
3 Si 0.2500 0.2500 0.7500 (multiplicity 4)  4 Ir 2.71, 4 Y 2.71
4 Ir 0.0000 0.0000 0.5000 (multiplicity 4)  4 Be 2.71, 4 Si 2.71

Total energy = -104.42 eV for the cell shown
Total magnetic moment = 0.01 μB/cell
Relative energy among the computed polymorphs = 0 meV per atom

---

No. 5
Computed, not measured: a relaxed CsNdSeO crystal at the PBE level of DFT.

a = 4.5200 Å, b = 4.5200 Å, c = 10.2954 Å
α = 90.00°, β = 90.00°, γ = 90.00°
With the nearest neighbours (Å) after each atom.
Space group P4/nmm (No. 129, origin choice 2)
Asymmetric unit:
1 Cs 0.2500 0.7500 0.0000 (multiplicity 2)  4 Cs 3.20, 4 Se 3.40
2 Nd 0.2500 0.2500 0.4152 (multiplicity 2)  4 O 2.42
3 Se 0.2500 0.2500 0.7531 (multiplicity 2)  4 Cs 3.40, 4 O 3.45, 5 Nd 3.48-3.64
4 O 0.2500 0.7500 0.5000 (multiplicity 2)  4 Nd 2.42

Total energy = -42.69 eV for the cell shown
Total magnetic moment = 0.00 μB/cell
Relative energy among the computed polymorphs = 335 meV per atom

---

No. 6
Computed, not measured: a relaxed FeNi crystal at the PBE level of DFT.

a = 2.5088 Å, b = 2.5088 Å, c = 3.5539 Å
α = 90.00°, β = 90.00°, γ = 90.00°
With the nearest neighbours (Å) after each atom.
Space group P4/mmm (No. 123)
Asymmetric unit:
1 Fe 0.0000 0.0000 0.0000 (multiplicity 1)  4 Fe 2.51, 8 Ni 2.51
2 Ni 0.5000 0.5000 0.5000 (multiplicity 1)  4 Ni 2.51, 8 Fe 2.51

Formation enthalpy at 0 K = -0.0678 eV per atom
Total energy = -14.01 eV for the cell shown
Total magnetic moment = 3.21 μB/cell

---

No. 7
Computed, not measured: a relaxed Hf9NiW4 crystal at the PBE level of DFT.

a = 8.6865 Å, b = 8.6865 Å, c = 8.4783 Å
α = 90.00°, β = 90.00°, γ = 120.00°
With the nearest neighbours (Å) after each atom.
Space group P6_3/mmc (No. 194)
Asymmetric unit:
1 Hf 0.0845 0.5423 0.2500 (multiplicity 6)  2 W 2.89, 1 Ni 3.14, 4 Hf 3.20
2 Hf 0.1998 0.3995 0.5577 (multiplicity 12)  1 Ni 2.59
3 Ni 0.3333 0.6667 0.7500 (multiplicity 2)  6 Hf 2.59
4 W 0.0000 0.0000 0.0000 (multiplicity 2)  6 W 2.71
5 W 0.1121 0.2242 0.2500 (multiplicity 6)  4 W 2.71-2.92, 4 Hf 2.89-2.92

Formation enthalpy at 0 K = -0.1631 eV per atom
Total energy = -298.58 eV for the cell shown
Total magnetic moment = 0.06 μB/cell

---

No. 8
Computed, not measured: a relaxed Dy3Mg3Tl2Hg crystal at the PBE level of DFT.

a = 7.4982 Å, b = 7.4982 Å, c = 4.6169 Å
α = 90.00°, β = 90.00°, γ = 120.00°
With the nearest neighbours (Å) after each atom.
Space group P-62m (No. 189)
Asymmetric unit:
1 Dy 0.0000 0.4213 0.0000 (multiplicity 3)  1 Hg 3.16, 4 Tl 3.22, 2 Mg 3.44
2 Mg 0.0000 0.7612 0.5000 (multiplicity 3)  2 Tl 2.92, 2 Hg 2.92, 2 Mg 3.10
3 Tl 0.3333 0.6667 0.5000 (multiplicity 2)  3 Mg 2.92, 6 Dy 3.22
4 Hg 0.0000 0.0000 0.0000 (multiplicity 1)  6 Mg 2.92, 3 Dy 3.16

Total energy = -26.83 eV for the cell shown
Total magnetic moment = 0.00 μB/cell

---

No. 9
Computed, not measured: a relaxed PrTcNi crystal at the PBE level of DFT.

a = 6.4022 Å, b = 6.4022 Å, c = 6.4022 Å
α = 90.00°, β = 90.00°, γ = 90.00°
With the nearest neighbours (Å) after each atom.
Space group F-43m (No. 216)
Asymmetric unit:
1 Pr 0.0000 0.0000 0.0000 (multiplicity 4)  4 Ni 2.77, 4 Tc 2.77
2 Tc 0.2500 0.2500 0.2500 (multiplicity 4)  4 Pr 2.77
3 Ni 0.2500 0.2500 0.7500 (multiplicity 4)  4 Pr 2.77

Formation enthalpy at 0 K = 1.1891 eV per atom
Total energy = -68.54 eV for the cell shown
Total magnetic moment = 7.75 μB/cell
Relative energy among the computed polymorphs = 639 meV per atom

---

No. 10
Computed, not measured: a relaxed TbAl3C crystal at the PBE level of DFT.

a = 4.3764 Å, b = 4.3764 Å, c = 4.3764 Å
α = 90.00°, β = 90.00°, γ = 90.00°
With the nearest neighbours (Å) after each atom.
Space group Pm-3m (No. 221)
Asymmetric unit:
1 Tb 0.0000 0.0000 0.0000 (multiplicity 1)  12 Al 3.09
2 Al 0.0000 0.5000 0.5000 (multiplicity 3)  2 C 2.19
3 C 0.5000 0.5000 0.5000 (multiplicity 1)  6 Al 2.19

Total energy = -23.48 eV for the cell shown
Total magnetic moment = 0.01 μB/cell

---

No. 11
Computed, not measured: a relaxed Dy2Y3Ga3 crystal at the PBE level of DFT.

a = 5.4738 Å, b = 7.4873 Å, c = 10.0497 Å
α = 90.00°, β = 90.00°, γ = 90.00°
With the nearest neighbours (Å) after each atom.
Space group Amm2 (No. 38)
Asymmetric unit:
1 Dy 0.0000 0.0000 0.0000 (multiplicity 2)  6 Y 3.07-3.39, 4 Ga 3.20
2 Dy 0.5000 0.0000 0.4043 (multiplicity 2)  4 Ga 2.93-3.16
3 Y 0.0000 0.2460 0.7398 (multiplicity 4)  4 Ga 2.98-3.29, 2 Dy 3.07-3.20
4 Y 0.5000 0.0000 0.8005 (multiplicity 2)  4 Ga 3.15-3.31, 4 Y 3.36, 2 Dy 3.39
5 Ga 0.0000 0.0000 0.5071 (multiplicity 2)  2 Dy 2.93, 2 Y 2.98
6 Ga 0.5000 0.1734 0.1032 (multiplicity 4)  1 Ga 2.60

Total energy = -79.39 eV for the cell shown
Total magnetic moment = 0.19 μB/cell
Relative energy among the computed polymorphs = 123 meV per atom

---

No. 12
Computed, not measured: a relaxed HfFeSbW crystal at the PBE level of DFT.

a = 6.4527 Å, b = 6.4527 Å, c = 6.4527 Å
α = 90.00°, β = 90.00°, γ = 90.00°
With the nearest neighbours (Å) after each atom.
Space group F-43m (No. 216)
Asymmetric unit:
1 Hf 0.0000 0.0000 0.0000 (multiplicity 4)  4 Fe 2.79, 4 W 2.79
2 Fe 0.2500 0.2500 0.7500 (multiplicity 4)  4 Hf 2.79, 4 Sb 2.79
3 Sb 0.0000 0.0000 0.5000 (multiplicity 4)  4 W 2.79, 4 Fe 2.79
4 W 0.2500 0.2500 0.2500 (multiplicity 4)  4 Sb 2.79, 4 Hf 2.79

Total energy = -137.79 eV for the cell shown
Total magnetic moment = 3.89 μB/cell
Relative energy among the computed polymorphs = 0 meV per atom